DFT (PBE-GGA) results for an optimized crystal structure of SrSmSe2O8.

The structure in POSCAR format:
```
SrSmSe2O8
1.0
5.7999 0.0000 0.0000
-2.8999 5.0228 0.0000
0.0000 0.0000 7.4377
O Sm Se Sr
8 1 2 1
direct
0.1668 0.3317 0.7172 O
0.8350 0.1668 0.2828 O
0.3333 0.6667 0.0082 O
0.8332 0.6683 0.2828 O
0.3317 0.1650 0.2828 O
0.6667 0.3333 0.9918 O
0.1650 0.8332 0.7172 O
0.6683 0.8350 0.7172 O
0.0000 0.0000 0.5000 Sm
0.3333 0.6667 0.7845 Se
0.6667 0.3333 0.2155 Se
0.0000 0.0000 0.0000 Sr
```

SG   No. 147

DFT (PBE-GGA) results for an optimized crystal structure of Sm3Ti3Se2O8.

The structure in POSCAR format:
```
Sm3Ti3Se2O8
1.0
3.9099 0.0000 0.0000
0.0000 9.8614 -0.0009
0.0000 4.8999 12.6002
O Sm Se Ti
16 6 4 6
direct
0.2500 0.1215 0.2513 O
0.7500 0.7505 0.6084 O
0.7500 0.1773 0.5715 O
0.2500 0.2495 0.3916 O
0.7500 0.8785 0.7487 O
0.2500 0.4415 0.0836 O
0.2500 0.3900 0.5295 O
0.7500 0.3585 0.2376 O
0.7500 0.6100 0.4705 O
0.7500 0.8788 0.2538 O
0.2500 0.8227 0.4285 O
0.7500 0.5585 0.9164 O
0.2500 0.6415 0.7624 O
0.7500 0.9977 0.4256 O
0.2500 0.0023 0.5744 O
0.2500 0.1212 0.7462 O
0.7500 0.5827 0.0854 Sm
0.2500 0.9516 0.1605 Sm
0.2500 0.5912 0.5885 Sm
0.7500 0.4088 0.4115 Sm
0.2500 0.4173 0.9146 Sm
0.7500 0.0484 0.8395 Sm
0.7500 0.1634 0.0161 Se
0.7500 0.3908 0.7463 Se
0.2500 0.8366 0.9839 Se
0.2500 0.6092 0.2537 Se
0.2500 0.1897 0.6031 Ti
0.2500 0.0446 0.4115 Ti
0.2500 0.3150 0.2305 Ti
0.7500 0.6850 0.7695 Ti
0.7500 0.8103 0.3969 Ti
0.7500 0.9554 0.5885 Ti
```

SG   No. 11

DFT (PBE-GGA) results for an optimized crystal structure of SmTl2Se2O6.

The structure in POSCAR format:
```
SmTl2Se2O6
1.0
-1.5869 -4.4421 3.6909
4.8584 2.9390 0.7664
-5.2341 4.5323 3.2043
Sm Se Tl O
1 2 2 6
direct
0.5000 0.0000 0.5000 Sm
0.1065 0.2129 0.2408 Se
0.8935 0.7871 0.7592 Se
0.7290 0.4581 0.0981 Tl
0.2710 0.5419 0.9019 Tl
0.7459 0.4917 0.5804 O
0.2183 0.9906 0.7178 O
0.2278 0.0094 0.2822 O
0.2541 0.5083 0.4196 O
0.7817 0.0094 0.2822 O
0.7722 0.9906 0.7178 O
```

SG   No. 12

DFT (PBE-GGA) results for an optimized crystal structure of SmTmSeO2.

The structure in POSCAR format:
```
SmTmSeO2
1.0
4.0396 0.0000 0.0000
0.0000 6.5279 -0.4204
0.0000 -1.9122 7.3901
Se Tm O Sm
2 2 4 2
direct
0.7500 0.9548 0.2465 Se
0.2500 0.0452 0.7535 Se
0.7500 0.3298 0.5803 Tm
0.2500 0.6702 0.4197 Tm
0.7500 0.5167 0.8714 O
0.2500 0.4827 0.6125 O
0.2500 0.4833 0.1286 O
0.7500 0.5173 0.3875 O
0.2500 0.6881 0.9281 Sm
0.7500 0.3119 0.0719 Sm
```

SG   No. 11

DFT (PBE-GGA) results for an optimized crystal structure of SmTmSe2O.

The structure in POSCAR format:
```
SmTmSe2O
1.0
-0.7179 1.3447 -3.6946
-3.8884 0.3131 0.8695
2.1046 13.5638 4.5279
Sm Se O Tm
2 4 2 2
direct
0.5000 0.0000 0.5807 Sm
0.0000 0.5000 0.4193 Sm
0.5000 0.0000 0.3033 Se
0.5000 0.0000 0.9117 Se
0.0000 0.5000 0.0883 Se
0.0000 0.5000 0.6967 Se
0.5000 0.5000 0.5000 O
0.0000 0.0000 0.5000 O
0.5000 0.0000 0.1237 Tm
0.0000 0.5000 0.8763 Tm
```

SG   No. 129

DFT (PBE-GGA) results for an optimized crystal structure of Sm2TmSe2O2.

The structure in POSCAR format:
```
Sm2TmSe2O2
1.0
-0.1671 -1.3750 -4.0230
3.8266 -1.8030 0.4573
-5.1934 -4.9480 4.1568
Sm O Se Tm
2 2 2 1
direct
0.3734 0.3734 0.7468 Sm
0.6266 0.6266 0.2532 Sm
0.0000 0.5000 0.0000 O
0.5000 0.0000 0.0000 O
0.1802 0.1802 0.3605 Se
0.8198 0.8198 0.6395 Se
0.0000 0.0000 0.0000 Tm
```

SG   No. 139

DFT (PBE-GGA) results for an optimized crystal structure of Sm2U2Se3O4.

The structure in POSCAR format:
```
Sm2U2Se3O4
1.0
-2.4877 -3.0031 0.7690
4.3763 -2.3445 5.0014
-7.1003 8.4919 10.1935
U Sm Se O
4 4 6 8
direct
0.5000 0.2073 0.5748 U
0.5000 0.7927 0.4252 U
0.5000 0.7073 0.9252 U
0.5000 0.2927 0.0748 U
0.0000 0.2936 0.8469 Sm
0.0000 0.7936 0.6531 Sm
0.0000 0.2064 0.3469 Sm
0.0000 0.7064 0.1531 Sm
0.0000 0.0000 0.0000 Se
0.0000 0.5000 0.5000 Se
0.5000 0.9955 0.7783 Se
0.5000 0.0045 0.2217 Se
0.5000 0.5045 0.2783 Se
0.5000 0.4955 0.7217 Se
0.0000 0.6136 0.8893 O
0.0000 0.8864 0.3893 O
0.5000 0.3627 0.9330 O
0.5000 0.8627 0.5670 O
0.0000 0.1136 0.6107 O
0.0000 0.3864 0.1107 O
0.5000 0.6373 0.0670 O
0.5000 0.1373 0.4330 O
```

SG   No. 55

DFT (PBE-GGA) results for an optimized crystal structure of SmUSeO2.

The structure in POSCAR format:
```
SmUSeO2
1.0
3.8788 0.0000 0.0000
0.0000 3.8788 0.0000
-1.9394 -1.9394 6.1358
U O Sm Se
1 2 1 1
direct
0.1483 0.1483 0.2965 U
0.2489 0.7489 0.4977 O
0.7489 0.2489 0.4977 O
0.8529 0.8529 0.7058 Sm
0.5011 0.5011 0.0022 Se
```

SG   No. 107

Number 1: ΔE_f (raw) -19.37 eV per formula unit, N(E_F) 3.417 states/eV/cell, DFT total energy -0.4435 Ry per atom. Number 2: ΔE_f (raw) -47.29 eV per formula unit, N(E_F) 6.187 states/eV/cell, DFT total energy -0.6053 Ry per atom. Number 3: ΔE_f (raw) -14.40 eV per formula unit, N(E_F) 1.794 states/eV/cell, DFT total energy -0.4047 Ry per atom. Number 4: ΔE_f (raw) -15.47 eV per formula unit, N(E_F) 0.000 states/eV/cell, DFT total energy -0.5594 Ry per atom. Number 5: ΔE_f (raw) -11.94 eV per formula unit, N(E_F) 2.009 states/eV/cell, DFT total energy -0.4860 Ry per atom. Number 6: ΔE_f (raw) -16.77 eV per formula unit, N(E_F) 2.833 states/eV/cell, DFT total energy -0.4995 Ry per atom. Number 7: ΔE_f (raw) -29.00 eV per formula unit, N(E_F) 18.249 states/eV/cell, DFT total energy -0.6101 Ry per atom. Number 8: ΔE_f (raw) -13.12 eV per formula unit, N(E_F) 6.997 states/eV/cell, DFT total energy -0.6251 Ry per atom.